[1]
{
  "formula": "MgBeIr2",
  "functional": "PBE",
  "state": "optimized geometry",
  "lattice": [[-0.4182, 1.8013, 3.5174], [-3.6015, 1.2823, -1.0848], [-5.3543, -5.2468, 4.2953]],
  "species": ["Be", "Be", "Mg", "Mg", "Ir", "Ir", "Ir", "Ir"],
  "frac_coords": [[0.5000, 0.5000, 0.0000], [0.2500, 0.7500, 0.5000], [0.0000, 0.0000, 0.0000], [0.7500, 0.2500, 0.5000], [0.5557, 0.1250, 0.2500], [0.1943, 0.6250, 0.2500], [0.3750, 0.4443, 0.7500], [0.8750, 0.8057, 0.7500]],
  "polymorph_energy_mev_per_atom": 610,
  "total_energy_ev_per_atom": -5.5206,
  "delta_e_f_ev_per_fu": 0.96,
  "magmom_total_mub_per_fu": 0.00
}

[2]
{
  "formula": "MgBeIr3",
  "functional": "PBE",
  "state": "optimized geometry",
  "lattice": [[-1.5833, -3.8009, 0.6502], [-0.4699, -0.5075, -4.1107], [3.8274, -1.6346, -0.2357]],
  "species": ["Be", "Mg", "Ir", "Ir", "Ir"],
  "frac_coords": [[0.0000, 0.0000, 0.0000], [0.5000, 0.5000, 0.5000], [0.0000, 0.5000, 0.0000], [0.0000, 0.0000, 0.5000], [0.5000, 0.0000, 0.0000]],
  "polymorph_energy_mev_per_atom": 0,
  "total_energy_ev_per_atom": -6.3240,
  "delta_e_f_ev_per_fu": 0.28,
  "magmom_total_mub_per_fu": 0.00
}

[3]
{
  "formula": "MgBeIr2",
  "functional": "PBE",
  "state": "optimized geometry",
  "lattice": [[-1.4074, 0.6268, 2.3004], [1.0236, -2.5719, -0.0543], [6.5770, 2.5472, 3.3297]],
  "species": ["Be", "Mg", "Ir", "Ir"],
  "frac_coords": [[0.5000, 0.5000, 0.7500], [0.5000, 0.5000, 0.2500], [0.0000, 0.0000, 0.9687], [0.0000, 0.0000, 0.5313]],
  "polymorph_energy_mev_per_atom": 132,
  "total_energy_ev_per_atom": -5.9984,
  "delta_e_f_ev_per_fu": -0.95,
  "magmom_total_mub_per_fu": 0.00
}

[4]
{
  "formula": "MgBe2Ir2",
  "functional": "PBE",
  "state": "optimized geometry",
  "lattice": [[6.4130, 0.0000, 0.0000], [0.0000, 6.4130, 0.0000], [0.0000, 0.0000, 2.9210]],
  "species": ["Be", "Be", "Be", "Be", "Mg", "Mg", "Ir", "Ir", "Ir", "Ir"],
  "frac_coords": [[0.3752, 0.8752, 0.0000], [0.8752, 0.6248, 0.0000], [0.6248, 0.1248, 0.0000], [0.1248, 0.3752, 0.0000], [0.0000, 0.0000, 0.0000], [0.5000, 0.5000, 0.0000], [0.1634, 0.6634, 0.5000], [0.6634, 0.8366, 0.5000], [0.8366, 0.3366, 0.5000], [0.3366, 0.1634, 0.5000]],
  "polymorph_energy_mev_per_atom": 0,
  "total_energy_ev_per_atom": -5.9030,
  "delta_e_f_ev_per_fu": -2.75,
  "magmom_total_mub_per_fu": 0.00
}

[5]
{
  "formula": "Mg2BeIr",
  "functional": "PBE",
  "state": "optimized geometry",
  "lattice": [[8.8335, 0.0093, 0.0054], [8.3609, 2.8507, 0.0054], [8.3609, 1.3907, 2.4885]],
  "species": ["Be", "Mg", "Mg", "Ir"],
  "frac_coords": [[0.7500, 0.7500, 0.7500], [0.9995, 0.9995, 0.9995], [0.5005, 0.5005, 0.5005], [0.2500, 0.2500, 0.2500]],
  "total_energy_ev_per_atom": -3.7407,
  "delta_e_f_ev_per_fu": 0.81,
  "magmom_total_mub_per_fu": 0.22
}

[6]
{
  "formula": "MgBeIr2",
  "functional": "PBE",
  "state": "optimized geometry",
  "lattice": [[-0.7883, 2.6718, -0.8432], [-1.8752, -1.7679, -3.8486], [-3.5559, -0.4388, 1.9341]],
  "species": ["Be", "Mg", "Ir", "Ir"],
  "frac_coords": [[0.0000, 0.5000, 0.5000], [0.5000, 0.0000, 0.5000], [0.0000, 0.0000, 0.0000], [0.5000, 0.5000, 0.0000]],
  "polymorph_energy_mev_per_atom": 225,
  "total_energy_ev_per_atom": -5.9049,
  "delta_e_f_ev_per_fu": -0.58,
  "magmom_total_mub_per_fu": 0.00
}

[7]
{
  "formula": "MgBeIr2",
  "functional": "PBE",
  "state": "optimized geometry",
  "lattice": [[4.2913, 0.0000, 0.0000], [2.1456, 3.7164, 0.0000], [2.1456, 1.2388, 3.5038]],
  "species": ["Be", "Mg", "Ir", "Ir"],
  "frac_coords": [[0.5000, 0.5000, 0.5000], [0.7500, 0.7500, 0.7500], [0.0000, 0.0000, 0.0000], [0.2500, 0.2500, 0.2500]],
  "polymorph_energy_mev_per_atom": 367,
  "total_energy_ev_per_atom": -5.7631,
  "delta_e_f_ev_per_fu": -0.01,
  "magmom_total_mub_per_fu": 0.66
}

[8]
{
  "formula": "MgBeIr2",
  "functional": "PBE",
  "state": "optimized geometry",
  "lattice": [[2.9931, 0.0000, 0.0000], [0.0000, 4.1804, 0.0000], [0.0000, 0.0000, 4.1804]],
  "species": ["Be", "Mg", "Ir", "Ir"],
  "frac_coords": [[0.5000, 0.0000, 0.5000], [0.5000, 0.5000, 0.0000], [0.0000, 0.0000, 0.0000], [0.0000, 0.5000, 0.5000]],
  "polymorph_energy_mev_per_atom": 120,
  "total_energy_ev_per_atom": -6.0098,
  "delta_e_f_ev_per_fu": -1.00,
  "magmom_total_mub_per_fu": 0.00
}